## Na2TlCoO4 (GGA+U)

Data for an optimized crystal structure of Na2TlCoO4.

```
data_Na2TlCoO4
_chemical_formula_sum 'Na4 Tl2 Co2 O8'
_symmetry_space_group_name_H-M 'I -4'
_symmetry_Int_Tables_number 82
_cell_length_a 5.681
_cell_length_b 5.681
_cell_length_c 6.852
_cell_angle_alpha 90.00
_cell_angle_beta 90.00
_cell_angle_gamma 90.00
loop_
_symmetry_equiv_pos_as_xyz
'x,y,z'
'y,-x,-z'
'-x,-y,z'
'-y,x,-z'
'x+1/2,y+1/2,z+1/2'
'y+1/2,-x+1/2,-z+1/2'
'-x+1/2,-y+1/2,z+1/2'
'-y+1/2,x+1/2,-z+1/2'
loop_
_atom_site_label
_atom_site_type_symbol
_atom_site_fract_x
_atom_site_fract_y
_atom_site_fract_z
Na1 Na 0.000 0.000 0.000
Na2 Na 0.000 0.500 0.250
Tl1 Tl 0.000 0.500 0.750
Co1 Co 0.000 0.000 0.500
O1 O 0.201 0.764 0.579
```

Calculated values
VASP energy: -4.816 eV/atom
Volume: 221.15 Å³/cell
Total magnetic moment: 0.25 μB/atom